An optimized crystal structure of Rb5LiSeO2. Source: Alexandria via LeMat-Bulk, functional PBE-GGA.

V = 32.4 Å³/atom
Magnetic moment = 0.000 μB per cell
Uncorrected energy = -30.12 eV for the cell shown

Structure (extended XYZ):
```
9
Lattice="-2.132 -2.971 4.181 4.863 0.270 2.671 -2.777 7.976 4.251" Properties=species:S:1:pos:R:3 pbc="T T T"
O -2.249 6.459 3.443
O -0.528 1.517 0.808
Se -0.023 2.637 5.551
Rb -1.389 3.988 2.125
Rb -3.157 4.519 5.291
Rb 1.745 2.106 2.386
Rb -1.752 0.486 3.141
Rb 0.341 6.139 4.536
Li 0.000 0.000 0.000
```

---

An optimized crystal structure of CsRb2ScPt. Source: Alexandria via LeMat-Bulk, functional PBE-GGA.

V = 53.1 Å³/atom
Energy of formation = 1.4 eV per formula unit
Magnetic moment = 0.004 μB per cell
Uncorrected energy = -13.78 eV for the cell shown

Structure (extended XYZ):
```
5
Lattice="7.372 0.000 0.000 0.000 4.886 0.000 0.000 0.000 7.372" Properties=species:S:1:pos:R:3 pbc="T T T"
Rb 3.686 0.000 0.000
Rb 0.000 0.000 3.686
Sc 0.000 0.000 0.000
Pt 0.000 2.443 0.000
Cs 3.686 2.443 3.686
```

---

An optimized crystal structure of LuTh. Source: Alexandria via LeMat-Bulk, functional PBE-GGA.

V = 30.6 Å³/atom
Energy of formation = 0.1 eV per formula unit
Magnetic moment = 0.000 μB per cell
Distance to the lowest polymorph of the same formula = 0.006 eV per atom
Uncorrected energy = -11.86 eV for the cell shown

Structure (extended XYZ):
```
2
Lattice="6.071 0.006 0.004 5.050 3.370 0.004 5.050 1.533 3.001" Properties=species:S:1:pos:R:3 pbc="T T T"
Th 8.086 2.455 1.504
Lu 0.000 0.000 0.000
```

---

An optimized crystal structure of Bi2Te2Br. Source: Alexandria via LeMat-Bulk, functional PBE-GGA.

V = 31.8 Å³/atom
Magnetic moment = 0.000 μB per cell
Distance to the lowest polymorph of the same formula = 0.155 eV per atom
Uncorrected energy = -31.71 eV for the cell shown

Structure (extended XYZ):
```
10
Lattice="-1.912 2.736 8.314 -6.284 -6.353 0.646 2.692 -2.515 1.447" Properties=species:S:1:pos:R:3 pbc="T T T"
Bi -0.224 -1.166 3.804
Bi -5.280 -4.967 6.602
Bi -2.558 -1.190 8.102
Bi -2.947 -4.942 2.304
Br -4.098 -1.809 4.480
Br 0.000 0.000 0.000
Te -5.702 -1.787 7.501
Te -2.494 -1.830 1.459
Te -2.170 0.832 5.484
Te -6.026 -4.449 3.475
```

---

- Which formula does entry 4 have?
  Bi2Te2Br

---

- Number 3 is which compound?
  LuTh

---

- Which of these has the highest magnetic moment?
  CsRb2ScPt